[1]
Below is crystalline IrAuSeS2 at its relaxed geometry, with properties calculated at the PBE level.

abc: 4.4490 4.4490 5.5888
angles: 90.00 90.00 90.00
With the nearest neighbours (Å) after each atom.
Space group P4/mmm (No. 123)
Inequivalent atoms, fractional coordinates:
Ir  0.0000  0.0000  0.0000 x1  4 S 2.22
Au  0.5000  0.5000  0.5000 x1  4 Se 3.15
Se  0.0000  0.0000  0.5000 x1  2 Ir 2.79
S  0.0000  0.5000  0.0000 x2  2 Ir 2.22

Computed properties:
Formation energy without anion corrections ... 618 meV/atom
Energy ... -4.157 eV/atom
ρ ... 7.99 g cm⁻³

***

[2]
Below is crystalline CsMnSi2 at its relaxed geometry, with properties calculated at the PBE level.

abc: 6.8456 6.8456 6.8456
angles: 90.00 90.00 90.00
With the nearest neighbours (Å) after each atom.
Space group Fm-3m (No. 225)
Inequivalent atoms, fractional coordinates:
Cs  0.0000  0.0000  0.0000 x4  8 Si 2.96
Mn  0.0000  0.0000  0.5000 x4  8 Si 2.96
Si  0.2500  0.2500  0.2500 x8  4 Mn 2.96, 4 Cs 2.96

Computed properties:
Formation energy without anion corrections ... 1207 meV/atom
Energy ... -4.010 eV/atom
Offset from the most stable computed form ... 0.952 eV/atom
ρ ... 5.05 g cm⁻³

***

[3]
Below is crystalline KAlIO2 at its relaxed geometry, with properties calculated at the PBE level.

abc: 4.8297 4.8297 7.1350
angles: 90.00 90.00 90.00
With the nearest neighbours (Å) after each atom.
Space group P4/mmm (No. 123)
Inequivalent atoms, fractional coordinates:
K  0.0000  0.0000  0.0000 x1  4 O 2.41
Al  0.5000  0.5000  0.5000 x1  4 I 3.42
I  0.0000  0.0000  0.5000 x1  4 Al 3.42, 2 K 3.57
O  0.0000  0.5000  0.0000 x2  2 K 2.41

Computed properties:
Formation energy without anion corrections ... 453 meV/atom
Energy ... -2.808 eV/atom
Offset from the most stable computed form ... 1.488 eV/atom
ρ ... 2.24 g cm⁻³

***

[4]
Below is crystalline Ca2LaAgPt at its relaxed geometry, with properties calculated at the PBE level.

abc: 5.5881 5.5881 5.5159
angles: 90.00 90.00 90.00
With the nearest neighbours (Å) after each atom.
Space group P4mm (No. 99)
Inequivalent atoms, fractional coordinates:
Ca  0.0000  0.5000  0.0000 x2  2 Pt 2.79
La  0.0000  0.0000  0.5095 x1  2 Pt 2.75-2.77
Ag  0.5000  0.5000  0.5453 x1  8 Ca 3.75-4.11, 4 La 3.96
Pt  0.0000  0.0000  0.0110 x1  2 La 2.75-2.77, 4 Ca 2.79

Computed properties:
Calculated formation energy ... -416.5 meV per atom
Energy ... -3.981 eV/atom
ρ ... 5.03 g cm⁻³

***

[5]
Below is crystalline ScNiAgRh at its relaxed geometry, with properties calculated at the PBE level.

abc: 6.3152 6.3152 6.3152
angles: 90.00 90.00 90.00
With the nearest neighbours (Å) after each atom.
Space group F-43m (No. 216)
Inequivalent atoms, fractional coordinates:
Sc  0.0000  0.0000  0.0000 x4  4 Rh 2.73, 4 Ni 2.73
Ni  0.2500  0.2500  0.2500 x4  4 Sc 2.73, 4 Ag 2.73
Ag  0.0000  0.0000  0.5000 x4  4 Ni 2.73, 4 Rh 2.73
Rh  0.2500  0.2500  0.7500 x4  4 Sc 2.73, 4 Ag 2.73

Computed properties:
Calculated formation energy ... -302.7 meV per atom
Energy ... -5.882 eV/atom
ρ ... 8.29 g cm⁻³

***

[6]
Below is crystalline Cs2AlTe at its relaxed geometry, with properties calculated at the PBE level.

abc: 5.7227 5.7227 25.2018
angles: 90.00 90.00 90.00
With the nearest neighbours (Å) after each atom.
Space group I-42d (No. 122)
Inequivalent atoms, fractional coordinates:
Cs  0.2408  0.2500  0.1250 x8  2 Te 3.72, 2 Al 3.76, 4 Cs 3.97-4.12
Al  0.0000  0.0000  0.5000 x4  4 Cs 3.76, 4 Te 4.05
Te  0.0000  0.0000  0.0000 x4  4 Cs 3.72, 4 Al 4.05

Computed properties:
Formation energy without anion corrections ... 53 meV/atom
Energy ... -2.095 eV/atom
Offset from the most stable computed form ... 0.146 eV/atom
ρ ... 3.38 g cm⁻³

***

[7]
Below is crystalline Pm3GaPd at its relaxed geometry, with properties calculated at the PBE level.

abc: 10.0073 6.6555 8.9737
angles: 90.00 116.29 90.00
With the nearest neighbours (Å) after each atom.
Space group C2/m (No. 12)
Inequivalent atoms, fractional coordinates:
Pm  0.0174  0.0000  0.2542 x4  2 Pd 2.92, 2 Ga 3.06
Pm  0.1899  0.5000  0.8637 x4  4 Pd 3.03-3.37, 2 Ga 3.23
Pm  0.2033  0.5000  0.3368 x4  2 Pd 3.14, 4 Ga 3.26-3.35, 1 Pm 3.49
Ga  0.0000  0.3049  0.5000 x4  1 Ga 2.60
Pd  0.0000  0.2859  0.0000 x4  1 Pd 2.85, 6 Pm 2.92-3.14

Computed properties:
Calculated formation energy ... -520.0 meV per atom
Energy ... -5.014 eV/atom
ρ ... 7.58 g cm⁻³

***

[8]
Below is crystalline CsCuAgTe6 at its relaxed geometry, with properties calculated at the PBE level.

abc: 9.0255 10.2057 13.9912
angles: 90.00 90.00 90.00
With the nearest neighbours (Å) after each atom.
Space group Imma (No. 74)
Inequivalent atoms, fractional coordinates:
Cs  0.0000  0.2500  0.1463 x4  6 Te 3.76-3.85
Cu  0.2500  0.2500  0.7500 x4  6 Te 2.62-2.82
Ag  0.0000  0.0000  0.5000 x4  6 Te 2.81-2.99
Te  0.0000  0.2500  0.4159 x4  2 Ag 2.81
Te  0.0000  0.2500  0.8710 x4  2 Cu 2.82
Te  0.2409  0.0384  0.6438 x16  1 Cu 2.62

Computed properties:
Formation energy without anion corrections ... -102 meV/atom
Energy ... -3.064 eV/atom
ρ ... 5.51 g cm⁻³

***

[9]
Below is crystalline ScGaPdPt at its relaxed geometry, with properties calculated at the PBE level.

abc: 6.3910 6.3910 6.3910
angles: 90.00 90.00 90.00
With the nearest neighbours (Å) after each atom.
Space group F-43m (No. 216)
Inequivalent atoms, fractional coordinates:
Sc  0.0000  0.0000  0.0000 x4  4 Pt 2.77, 4 Pd 2.77
Ga  0.0000  0.0000  0.5000 x4  4 Pd 2.77, 4 Pt 2.77
Pd  0.2500  0.2500  0.7500 x4  4 Sc 2.77, 4 Ga 2.77
Pt  0.2500  0.2500  0.2500 x4  4 Sc 2.77, 4 Ga 2.77

Computed properties:
Calculated formation energy ... -947.0 meV per atom
Energy ... -6.095 eV/atom
ρ ... 10.59 g cm⁻³

***

[10]
Below is crystalline Ac2HgBi3Pd6 at its relaxed geometry, with properties calculated at the PBE level.

abc: 4.3873 4.3873 17.0937
angles: 90.00 90.00 90.00
With the nearest neighbours (Å) after each atom.
Space group P4/mmm (No. 123)
Inequivalent atoms, fractional coordinates:
Ac  0.0000  0.0000  0.2001 x2  4 Pd 3.21
Hg  0.0000  0.0000  0.5000 x1  8 Pd 2.77
Bi  0.5000  0.5000  0.0000 x1  2 Pd 2.61
Bi  0.5000  0.5000  0.3105 x2  5 Pd 2.69-2.70
Pd  0.0000  0.5000  0.4013 x4  2 Bi 2.69, 2 Hg 2.77
Pd  0.5000  0.5000  0.1525 x2  2 Bi 2.61-2.70

Computed properties:
Calculated formation energy ... -299.0 meV per atom
Energy ... -4.576 eV/atom
ρ ... 9.69 g cm⁻³

***

[11]
Below is crystalline InGa2RhI at its relaxed geometry, with properties calculated at the PBE level.

abc: 4.9049 4.9049 5.3549
angles: 90.00 90.00 90.00
With the nearest neighbours (Å) after each atom.
Space group P4/mmm (No. 123)
Inequivalent atoms, fractional coordinates:
In  0.0000  0.0000  0.0000 x1  2 Rh 2.68
Ga  0.0000  0.5000  0.5000 x2  2 Rh 2.45
Rh  0.0000  0.0000  0.5000 x1  4 Ga 2.45, 2 In 2.68
I  0.5000  0.5000  0.0000 x1  4 In 3.47, 8 Ga 3.63

Computed properties:
Formation energy without anion corrections ... -364 meV/atom
Energy ... -3.903 eV/atom
ρ ... 6.24 g cm⁻³

***

[12]
Below is crystalline HfMg2Cd at its relaxed geometry, with properties calculated at the PBE level.

abc: 7.8936 7.8936 5.9582
angles: 90.00 90.00 90.00
With the nearest neighbours (Å) after each atom.
Space group I-42d (No. 122)
Inequivalent atoms, fractional coordinates:
Hf  0.0000  0.0000  0.0000 x4  2 Cd 2.98, 4 Mg 3.03
Mg  0.2237  0.2500  0.6250 x8  2 Cd 2.75, 2 Mg 3.01, 2 Hf 3.03
Cd  0.0000  0.0000  0.5000 x4  4 Mg 2.75, 2 Hf 2.98

Computed properties:
Calculated formation energy ... 409.7 meV per atom
Energy ... -3.105 eV/atom
ρ ... 6.07 g cm⁻³

***

[13]
Below is crystalline Sr3Ac4Se8 at its relaxed geometry, with properties calculated at the PBE level.

abc: 12.5823 12.6171 8.9051
angles: 90.00 134.73 90.00
With the nearest neighbours (Å) after each atom.
Space group C2/m (No. 12)
Inequivalent atoms, fractional coordinates:
Sr  0.0000  0.0000  0.0000 x2  6 Se 3.14-3.17
Sr  0.2500  0.2500  0.0000 x4  6 Se 3.15-3.16
Ac  0.0000  0.0000  0.5000 x2  6 Se 3.11-3.13
Ac  0.0000  0.5000  0.0000 x2  6 Se 3.13-3.17
Ac  0.2500  0.2500  0.5000 x4  6 Se 3.15-3.16
Se  0.0000  0.2476  0.5000 x4  3 Ac 3.12-3.15, 2 Sr 3.16
Se  0.0000  0.2490  0.0000 x4  3 Sr 3.14-3.15, 3 Ac 3.16-3.17
Se  0.2470  0.0000  0.9908 x4  2 Ac 3.11-3.13, 3 Sr 3.15-3.17
Se  0.2487  0.0000  0.4994 x4  4 Ac 3.13-3.17, 1 Sr 3.16

Computed properties:
Formation energy without anion corrections ... -1962 meV/atom
Energy ... -5.252 eV/atom
ρ ... 5.96 g cm⁻³

***

[14]
Below is crystalline Nb12Sn3Ge at its relaxed geometry, with properties calculated at the PBE level.

abc: 5.3023 5.3104 10.5556
angles: 90.00 90.00 90.00
With the nearest neighbours (Å) after each atom.
Space group Pmmm (No. 47)
Inequivalent atoms, fractional coordinates:
Nb  0.0000  0.0000  0.1216 x2  2 Nb 2.57-2.66
Nb  0.0000  0.0000  0.3739 x2  2 Nb 2.66, 4 Sn 2.96-2.97
Nb  0.2501  0.5000  0.5000 x2  2 Nb 2.65, 4 Sn 2.95-2.97
Nb  0.2582  0.5000  0.0000 x2  2 Nb 2.56-2.74
Nb  0.5000  0.2475  0.2422 x4  2 Nb 2.63-2.68, 1 Ge 2.87
Sn  0.0000  0.5000  0.2500 x2  12 Nb 2.95-2.98
Sn  0.5000  0.0000  0.5000 x1  12 Nb 2.97-3.02
Ge  0.5000  0.0000  0.0000 x1  12 Nb 2.87-2.95

Computed properties:
Calculated formation energy ... -210.8 meV per atom
Energy ... -8.802 eV/atom
ρ ... 8.62 g cm⁻³

***

[15]
Below is crystalline Zr2GeTe at its relaxed geometry, with properties calculated at the PBE level.

abc: 6.9659 6.9659 6.9659
angles: 90.00 90.00 90.00
With the nearest neighbours (Å) after each atom.
Space group Fm-3m (No. 225)
Inequivalent atoms, fractional coordinates:
Zr  0.2500  0.2500  0.2500 x8  4 Ge 3.02, 4 Te 3.02
Ge  0.0000  0.0000  0.0000 x4  8 Zr 3.02
Te  0.0000  0.0000  0.5000 x4  8 Zr 3.02

Computed properties:
Formation energy without anion corrections ... -506 meV/atom
Energy ... -6.720 eV/atom
Offset from the most stable computed form ... 0.335 eV/atom
ρ ... 7.52 g cm⁻³

***

[16]
Below is crystalline RbSeBr3 at its relaxed geometry, with properties calculated at the PBE level.

abc: 14.9042 14.9042 14.9042
angles: 90.00 90.00 90.00
With the nearest neighbours (Å) after each atom.
Space group Fd-3m (No. 227, origin choice 2)
Inequivalent atoms, fractional coordinates:
Rb  0.0000  0.0000  0.0000 x16  6 Br 3.87
Se  0.0000  0.0000  0.5000 x16  6 Br 2.78
Br  0.0596  0.3750  0.8750 x48  2 Se 2.78

Computed properties:
Formation energy without anion corrections ... -510 meV/atom
Energy ... -2.404 eV/atom
ρ ... 3.24 g cm⁻³

***

[17]
Below is crystalline Pm2Dy3YHo6 at its relaxed geometry, with properties calculated at the PBE level.

abc: 6.1580 10.6557 11.7692
angles: 90.00 99.99 90.00
With the nearest neighbours (Å) after each atom.
Space group C2/m (No. 12)
Inequivalent atoms, fractional coordinates:
Pm  0.0000  0.1666  0.0000 x4  3 Pm 3.55-3.56, 3 Y 3.55, 6 Ho 3.57-3.58
Dy  0.0000  0.0000  0.5000 x2  6 Ho 3.53, 6 Dy 3.55
Dy  0.0000  0.3335  0.5000 x4  6 Ho 3.52-3.53, 6 Dy 3.55-3.56
Y  0.0000  0.5000  0.0000 x2  6 Pm 3.55, 6 Ho 3.57
Ho  0.2483  0.1667  0.7477 x8  3 Dy 3.53, 6 Ho 3.55-3.56, 2 Pm 3.57, 1 Y 3.57
Ho  0.2483  0.5000  0.7474 x4  3 Dy 3.52-3.53, 6 Ho 3.55-3.56, 1 Y 3.57, 2 Pm 3.58

Computed properties:
Calculated formation energy ... 17.6 meV per atom
Energy ... -4.752 eV/atom
ρ ... 8.10 g cm⁻³

***

[18]
Below is crystalline KNpTl2I8 at its relaxed geometry, with properties calculated at the PBE level.

abc: 7.4250 8.2346 10.0871
angles: 90.08 90.23 90.75
With the nearest neighbours (Å) after each atom.
Space group P-1 (No. 2)
Inequivalent atoms, fractional coordinates:
K  0.0000  0.0000  0.0000 x1  6 I 3.44-3.64
Np  0.0000  0.0000  0.5000 x1  6 I 2.93-2.96
Tl  0.4987  0.4999  0.7628 x2  4 I 3.23-3.61
I  0.1994  0.6951  0.4988 x2  1 Np 2.93
I  0.2450  0.1320  0.2949 x2  1 Np 2.96
I  0.2465  0.1298  0.7068 x2  1 Np 2.96
I  0.2757  0.6671  0.0001 x2  2 Tl 3.23, 1 K 3.44

Computed properties:
Formation energy without anion corrections ... -753 meV/atom
Energy ... -3.351 eV/atom
ρ ... 4.58 g cm⁻³

***

[19]
Below is crystalline LiUAg2Cl8 at its relaxed geometry, with properties calculated at the PBE level.

abc: 6.3622 6.5421 8.0260
angles: 90.13 90.28 97.50
With the nearest neighbours (Å) after each atom.
Space group P-1 (No. 2)
Inequivalent atoms, fractional coordinates:
Li  0.0000  0.0000  0.0000 x1  2 Cl 2.39
U  0.0000  0.0000  0.5000 x1  6 Cl 2.53-2.57
Ag  0.4921  0.5053  0.7762 x2  4 Cl 2.59-2.81
Cl  0.1999  0.8358  0.2753 x2  1 U 2.53, 1 Li 2.83
Cl  0.2026  0.8358  0.7249 x2  1 U 2.53
Cl  0.2663  0.2947  0.0014 x2  1 Li 2.39, 2 Ag 2.59-2.60
Cl  0.2839  0.3175  0.5005 x2  1 U 2.57, 2 Ag 2.77-2.81

Computed properties:
Formation energy without anion corrections ... -1230 meV/atom
Energy ... -4.037 eV/atom
ρ ... 3.73 g cm⁻³